TbScH4: optimized geometry, PBE.

Computed properties:
As for the total energy: -4.7400 eV/atom. Its magnetic moment is 0.001 μB/f.u.

a b c (Å): 3.510 3.510 4.990
angles (deg): 90.00 90.00 90.00
Atoms (fractional coordinates):
Tb: 0.000 0.000 0.000
Sc: 0.500 0.500 0.500
H: 0.000 0.500 0.273
H: 0.000 0.500 0.727
H: 0.500 0.000 0.273
H: 0.500 0.000 0.727